A relaxed K3Sm2SnTe6 crystal. Source: the Alexandria database, functional PBE-GGA.

Unit cell a=7.9092 b=13.7014 c=8.6553 alpha=90.00 beta=107.74 gamma=90.00
Space group C2/m (No. 12)
Symmetry-distinct sites (fractional):
K: 0.0000 0.0000 0.0000
K: 0.0000 0.3328 0.0000
Sm: 0.0000 0.1665 0.5000
Sn: 0.0000 0.5000 0.5000
Te: 0.2343 0.3353 0.7090
Te: 0.2404 0.0000 0.7092

## Properties
Total moment, μB per cell: 0.00
Electronic total energy, eV per cell: -97.74